Density functional theory data (GGA-PBE) for crystalline CaP2Cl at its relaxed geometry.

The size of the total moment is 0.0 μB per formula unit. As for the raw total energy: -4.347 eV per atom. Its density of states at the Fermi level is 0.690 states/eV/atom. For the energy above the lowest structure with this stoichiometry, the calculation gives 297 meV/atom. For the uncorrected formation energy, the calculation gives -0.68 eV per atom.

Unit cell a=3.668 b=3.686 c=6.006 alpha=90.00 beta=90.00 gamma=90.00
Space group Pmmm (No. 47)
One atom of each set of equivalent atoms:
Ca: 0.000 0.000 0.000 x1
P: 0.000 0.500 0.500 x1
P: 0.500 0.000 0.500 x1
Cl: 0.500 0.500 0.000 x1